Arrangement one

VASP calculation (PBE+U) on a relaxed structure of FeHgI2O.

Calculated values
Crystal system: tetragonal
Calculated volume (Å³/atom): 29.834
SG: P4/mmm

Lattice parameters (Å, degrees): 6.036 6.036 4.094 90.00 90.00 90.00
Last column: magnetic moment on the atom in μB.
Fractional coordinates of all 5 atoms:
I 0.000 0.500 0.000  -0.01
I 0.500 0.000 0.000  -0.01
Hg 0.000 0.000 0.000  0.03
O 0.000 0.000 0.500  0.20
Fe 0.500 0.500 0.500  -3.96

---

Arrangement two

VASP calculation (PBE+U) on a relaxed structure of FeHgI2O.

Calculated values
Crystal system: tetragonal
Calculated volume (Å³/atom): 26.199
SG: P4/mmm

Lattice parameters (Å, degrees): 5.949 5.949 3.702 90.00 90.00 90.00
Last column: magnetic moment on the atom in μB.
Fractional coordinates of all 5 atoms:
Hg 0.500 0.500 0.500  0.00
I 0.000 0.500 0.000  0.10
I 0.500 0.000 0.000  0.10
Fe 0.000 0.000 0.000  4.16
O 0.000 0.000 0.500  0.37

---

Which of them is least stable? Easy: arrangement one.